# Rb3ReMo | the Alexandria database | PBE | optimized geometry
data_Rb3ReMo
_chemical_formula_sum 'Rb3 Re1 Mo1'
_symmetry_space_group_name_H-M 'P m -3 m'
_symmetry_Int_Tables_number 221
_symmetry_space_group_name_Hall '-P 4 2 3'
_cell_length_a 6.6170
_cell_length_b 6.6170
_cell_length_c 6.6170
_cell_angle_alpha 90.00
_cell_angle_beta 90.00
_cell_angle_gamma 90.00
loop_
_atom_site_label
_atom_site_type_symbol
_atom_site_fract_x
_atom_site_fract_y
_atom_site_fract_z
Rb1 Rb 0.0000 0.0000 0.5000
Re1 Re 0.0000 0.0000 0.0000
Mo1 Mo 0.5000 0.5000 0.5000
# formation enthalpy at 0 K	2.32	eV per atom
# energy above the most stable polymorph in this dataset	0.000	eV/atom